<i>
A relaxed LaPm3Cd crystal. Source: Alexandria, functional PBE.

```
data_LaPm3Cd
_chemical_formula_sum 'La2 Pm6 Cd2'
_space_group_name_H-M_alt 'P -1'
_space_group_IT_number 2
_cell_length_a 3.7983
_cell_length_b 6.9297
_cell_length_c 12.9837
_cell_angle_alpha 87.17
_cell_angle_beta 89.98
_cell_angle_gamma 74.10
loop_
_space_group_symop_operation_xyz
'x,y,z'
'-x,-y,-z'
loop_
_atom_site_label
_atom_site_type_symbol
_atom_site_fract_x
_atom_site_fract_y
_atom_site_fract_z
La1 La 0.2299 0.0387 0.2505
Pm1 Pm 0.0378 0.4247 0.6893
Pm2 Pm 0.1456 0.2094 0.9493
Pm3 Pm 0.3662 0.7685 0.5261
Cd1 Cd 0.4485 0.6035 0.8730
```

Total magnetization in μB per formula unit: 0.0

=====

<ii>
A relaxed LaPm3Cd crystal. Source: Alexandria, functional PBE.

```
data_LaPm3Cd
_chemical_formula_sum 'La2 Pm6 Cd2'
_space_group_name_H-M_alt 'P 1 21/m 1'
_space_group_IT_number 11
_cell_length_a 3.8531
_cell_length_b 9.7797
_cell_length_c 9.4846
_cell_angle_alpha 90.00
_cell_angle_beta 101.67
_cell_angle_gamma 90.00
loop_
_space_group_symop_operation_xyz
'x,y,z'
'-x,-y,-z'
'-x,y+1/2,-z'
'x,-y+1/2,z'
loop_
_atom_site_label
_atom_site_type_symbol
_atom_site_fract_x
_atom_site_fract_y
_atom_site_fract_z
La1 La 0.0190 0.2500 0.0337
Pm1 Pm 0.2058 0.2500 0.4121
Pm2 Pm 0.3948 0.0077 0.7909
Cd1 Cd 0.1630 0.7500 0.3238
```

Total magnetization in μB per formula unit: 0.0

=====

Which of them is least stable? Easy: <ii>.